{"formula": "GaCoF2", "functional": "PBE with a Hubbard U", "state": "relaxed", "final_energy_ev_per_atom": -4.3649, "crystal_system": "trigonal", "n_ef_per_ev_cell": 5.1, "total_magnetization_mub_per_fu": 2.80, "relative_energy_ev_per_atom": 0.000, "cell": [[1.8166, 0.0000, 7.4118], [-0.9083, 1.5732, 7.4118], [-0.9083, -1.5732, 7.4118]], "species": ["Co", "Ga", "F", "F"], "frac_coords": [[0.5000, 0.5000, 0.5000], [0.0000, 0.0000, 0.0000], [0.8801, 0.8801, 0.8801], [0.1199, 0.1199, 0.1199]]}